1.
An optimized crystal structure of K3RhF8. Source: the Alexandria database, functional PBE.

Cell and atoms, written as extended XYZ:
```
12
Lattice="-2.942 2.942 5.690 2.942 -2.942 5.690 2.942 2.942 -5.690" Properties=species:S:1:pos:R:3 pbc="T T T"
K 0.000 0.000 0.000
K 2.942 0.000 2.845
K 0.000 2.942 2.845
Rh 0.000 0.000 5.690
F 1.762 1.762 -1.179
F 1.180 -1.180 4.510
F 1.762 1.762 1.179
F 1.180 -1.180 6.869
F -1.180 1.180 4.510
F 1.180 1.180 4.510
F -1.180 1.180 6.869
F 1.180 1.180 6.869
```

Computed properties:
Energy relative to the elements, uncorrected in eV/atom: -2.08
Distance to the lowest polymorph of the same formula in kJ/mol of atoms: 0.00
Uncorrected energy in eV per atom: -4.211

=====

2.
An optimized crystal structure of Ca2CdIr. Source: the Alexandria database, functional PBE.

Cell and atoms, written as extended XYZ:
```
4
Lattice="3.513 0.000 0.000 0.000 3.513 0.000 0.000 0.000 8.381" Properties=species:S:1:pos:R:3 pbc="T T T"
Ca 0.000 0.000 0.000
Ca 1.757 1.757 3.257
Cd 0.000 0.000 5.291
Ir 1.757 1.757 6.684
```

Computed properties:
DFT formation energy in meV/atom: -66.8
Uncorrected energy in eV per atom: -3.512

=====

3.
An optimized crystal structure of InTeRu. Source: the Alexandria database, functional PBE.

Cell and atoms, written as extended XYZ:
```
6
Lattice="3.202 0.000 0.000 0.000 3.202 0.000 0.000 0.000 12.777" Properties=species:S:1:pos:R:3 pbc="T T T"
In 0.000 0.000 0.000
In 1.601 1.601 6.388
Te 0.000 0.000 3.436
Te 1.601 1.601 9.824
Ru 0.000 0.000 8.339
Ru 1.601 1.601 1.951
```

Computed properties:
Energy relative to the elements, uncorrected in eV/atom: 0.09
Distance to the lowest polymorph of the same formula in kJ/mol of atoms: 3.46
Uncorrected energy in eV per atom: -4.961

=====

4.
An optimized crystal structure of WAu3I. Source: the Alexandria database, functional PBE.

Cell and atoms, written as extended XYZ:
```
5
Lattice="5.132 0.000 0.000 0.000 5.132 0.000 0.000 0.000 5.132" Properties=species:S:1:pos:R:3 pbc="T T T"
W 0.000 0.000 0.000
Au 0.000 0.000 2.566
Au 0.000 2.566 0.000
Au 2.566 0.000 0.000
I 2.566 2.566 2.566
```

Computed properties:
Energy relative to the elements, uncorrected in eV/atom: 1.18
Distance to the lowest polymorph of the same formula in kJ/mol of atoms: 0.00
Uncorrected energy in eV per atom: -3.685

=====

5.
An optimized crystal structure of TlCo2Pb. Source: the Alexandria database, functional PBE.

Cell and atoms, written as extended XYZ:
```
8
Lattice="3.804 0.000 0.000 0.000 3.804 0.000 0.000 0.000 9.964" Properties=species:S:1:pos:R:3 pbc="T T T"
Tl 0.000 0.000 0.000
Tl 1.902 1.902 4.982
Co 0.000 0.000 4.982
Co 0.000 1.902 7.473
Co 1.902 0.000 2.491
Co 1.902 1.902 0.000
Pb 0.000 1.902 2.491
Pb 1.902 0.000 7.473
```

Computed properties:
DFT formation energy in meV/atom: 682.9
Uncorrected energy in eV per atom: -4.389

=====

6.
An optimized crystal structure of Be2ReSe. Source: the Alexandria database, functional PBE.

Cell and atoms, written as extended XYZ:
```
8
Lattice="8.466 0.000 0.000 0.000 2.884 0.000 -0.420 0.000 4.228" Properties=species:S:1:pos:R:3 pbc="T T T"
Be 0.000 0.000 0.000
Be 1.759 0.000 3.293
Be 4.233 1.442 0.000
Be 5.992 1.442 3.293
Re -0.152 1.442 2.272
Re 4.082 0.000 2.272
Se 2.249 1.442 1.274
Se 6.483 0.000 1.274
```

Computed properties:
Energy relative to the elements, uncorrected in eV/atom: 0.34
Uncorrected energy in eV per atom: -5.503

=====

7.
An optimized crystal structure of V6Re2Mo. Source: the Alexandria database, functional PBE.

Cell and atoms, written as extended XYZ:
```
9
Lattice="4.301 0.000 0.000 -2.151 3.725 0.000 0.000 0.000 7.857" Properties=species:S:1:pos:R:3 pbc="T T T"
V 0.000 0.000 1.329
V 0.000 0.000 6.528
V 0.000 2.483 2.159
V 0.000 2.483 4.813
V 2.151 1.242 3.044
V 2.151 1.242 5.698
Re 0.000 2.483 7.408
Re 2.151 1.242 0.449
Mo 0.000 0.000 3.928
```

Computed properties:
Distance to the lowest polymorph of the same formula in kJ/mol of atoms: 0.00
DFT formation energy in meV/atom: -215.1
Uncorrected energy in eV per atom: -10.264

=====

| no. | D(E_F) (states/eV/f.u.) |
| --- | --- |
| 1 | 0.00 |
| 2 | 3.38 |
| 3 | 3.10 |
| 4 | 2.93 |
| 5 | 6.81 |
| 6 | 2.38 |
| 7 | 6.55 |